No. 1
An optimized crystal structure of Tm4AlCu3, computed with PBE-GGA. Values from VASP.

Values from the calculation:
Energy relative to the lowest polymorph listed for this composition in meV per atom: 0.0
Energy of formation in eV/atom: -0.304

Cell and atoms, written as Quantum ESPRESSO input:
```
&SYSTEM
  ibrav = 0, nat = 8, ntyp = 3
/
ATOMIC_SPECIES
Tm 168.93 Tm.upf
Al 26.98 Al.upf
Cu 63.55 Cu.upf
CELL_PARAMETERS angstrom
3.4382 0.0000 0.0000
0.0000 4.9154 0.0000
0.0000 0.0000 9.7942
ATOMIC_POSITIONS angstrom
Tm 0.0000 0.0000 0.0000
Tm 0.0000 0.0000 4.8971
Tm 0.0000 2.4577 2.3594
Tm 0.0000 2.4577 7.4348
Al 1.7191 2.4577 4.8971
Cu 1.7191 0.0000 2.5177
Cu 1.7191 0.0000 7.2765
Cu 1.7191 2.4577 0.0000
```

---

No. 2
An optimized crystal structure of NiAg3Cl8, computed with PBE-GGA. Values from VASP.

Values from the calculation:
Raw formation energy in meV per atom: -382

Cell and atoms, written as Quantum ESPRESSO input:
```
&SYSTEM
  ibrav = 0, nat = 12, ntyp = 3
/
ATOMIC_SPECIES
Ni 58.69 Ni.upf
Ag 107.87 Ag.upf
Cl 35.45 Cl.upf
CELL_PARAMETERS angstrom
7.3046 -3.6279 0.0000
7.3046 3.6279 0.0000
-3.3812 0.0000 6.2457
ATOMIC_POSITIONS angstrom
Ni 0.0000 0.0000 0.0000
Ag 3.6523 1.8140 0.0000
Ag 3.6523 -1.8140 0.0000
Ag 7.3046 0.0000 0.0000
Cl 2.3028 0.0000 1.2056
Cl 4.6450 2.0641 4.8383
Cl 6.5830 2.0641 1.4074
Cl 1.2522 0.0000 4.8759
Cl 9.9759 0.0000 1.3698
Cl 4.6450 -2.0641 4.8383
Cl 6.5830 -2.0641 1.4074
Cl 8.9252 0.0000 5.0401
```

---

No. 3
An optimized crystal structure of Li6HfPd12, computed with PBE-GGA. Values from VASP.

Values from the calculation:
Energy of formation in eV/atom: -0.446

Cell and atoms, written as Quantum ESPRESSO input:
```
&SYSTEM
  ibrav = 0, nat = 19, ntyp = 3
/
ATOMIC_SPECIES
Li 6.94 Li.upf
Hf 178.49 Hf.upf
Pd 106.42 Pd.upf
CELL_PARAMETERS angstrom
6.0346 3.4841 2.2611
-6.0346 3.4841 2.2611
0.0000 -6.9682 2.2611
ATOMIC_POSITIONS angstrom
Li -1.8505 -2.4942 2.2052
Li -1.2348 2.8497 2.2052
Li -3.0853 0.3554 4.5780
Li 3.0853 -0.3554 2.2052
Li 1.2348 -2.8497 4.5780
Li 1.8505 2.4942 4.5780
Hf 0.0000 0.0000 0.0000
Pd -3.8306 1.7436 2.2635
Pd 0.4053 -4.1892 2.2635
Pd -1.6095 0.2032 2.2619
Pd -3.4253 -2.4456 4.5198
Pd 0.6288 -1.4955 2.2619
Pd 0.9807 1.2923 2.2620
Pd -0.9807 -1.2923 4.5213
Pd -0.6288 1.4955 4.5213
Pd 3.4253 2.4456 2.2635
Pd 1.6095 -0.2032 4.5213
Pd -0.4053 4.1892 4.5198
Pd 3.8306 -1.7436 4.5198
```

---

No. 4
An optimized crystal structure of Y5Tl2Ge, computed with PBE-GGA. Values from VASP.

Values from the calculation:
Energy of formation in eV/atom: -0.474

Cell and atoms, written as Quantum ESPRESSO input:
```
&SYSTEM
  ibrav = 0, nat = 16, ntyp = 3
/
ATOMIC_SPECIES
Y 88.91 Y.upf
Tl 204.38 Tl.upf
Ge 72.64 Ge.upf
CELL_PARAMETERS angstrom
7.2278 0.0000 0.0000
0.0000 12.6663 0.0000
0.0000 0.0000 4.8896
ATOMIC_POSITIONS angstrom
Y 0.0000 0.0000 0.0000
Y 1.0338 3.5678 0.0000
Y 1.2472 7.4265 2.4448
Y 2.3667 1.0934 2.4448
Y 2.5801 9.9010 0.0000
Y 3.6139 6.3331 0.0000
Y 4.6477 2.7653 0.0000
Y 4.8611 11.5729 2.4448
Y 5.9806 5.2398 2.4448
Y 6.1940 9.0984 0.0000
Tl 0.6789 10.6146 2.4448
Tl 2.9350 4.2815 2.4448
Tl 4.2928 8.3848 2.4448
Tl 6.5489 2.0516 2.4448
Ge 0.0000 6.3331 0.0000
Ge 3.6139 0.0000 0.0000
```

---

| no. | total moment (μB per formula unit) |
| --- | --- |
| 1 | 0.00 |
| 2 | 2.51 |
| 3 | 0.00 |
| 4 | 0.00 |